(1)
Density functional theory data (PBE) for a relaxed structure of Mn2FeHRu.

a b c (Å): 3.667 3.667 3.778
angles (deg): 90.00 90.00 90.00
Last column: magnetic moment on the atom in μB.
Fractional coordinates of all 5 atoms:
Ru (0.000, 0.000, 0.500)  0.14
Mn (0.000, 0.500, 0.000)  -1.75
Mn (0.500, 0.000, 0.000)  -1.75
Fe (0.500, 0.500, 0.500)  2.51
H (0.000, 0.000, 0.000)  0.01

Output
**Size of the total moment**: 0.179 μB/atom
**DOS at the Fermi energy**: 2.4 states/eV/cell
**Energy**: -7.854 eV/atom
**Energy above the lowest structure with this stoichiometry**: 0.00 eV per formula unit



(2)
Density functional theory data (PBE) for a relaxed structure of KBaP2.

a b c (Å): 6.209 6.209 6.209
angles (deg): 136.25 136.25 63.59
Fractional coordinates of all 4 atoms:
Ba (0.500, 0.500, 0.000)
K (0.750, 0.250, 0.500)
P (0.000, 0.000, 0.000)
P (0.250, 0.750, 0.500)

Output
**Size of the total moment**: 0.000 μB/atom
**DOS at the Fermi energy**: 5.0 states/eV/cell
**Energy**: -3.517 eV/atom
**Energy above the lowest structure with this stoichiometry**: 2.35 eV per formula unit



(3)
Density functional theory data (PBE) for a relaxed structure of Tl2AgOs.

a b c (Å): 4.868 4.868 5.866
angles (deg): 80.48 80.48 36.88
Last column: magnetic moment on the atom in μB.
Fractional coordinates of all 4 atoms:
Tl (0.995, 0.995, 0.012)  -0.01
Tl (0.505, 0.505, 0.488)  -0.01
Os (0.250, 0.250, 0.250)  0.72
Ag (0.750, 0.750, 0.750)  0.00

Output
**Size of the total moment**: 0.183 μB/atom
**DOS at the Fermi energy**: 2.1 states/eV/cell
**Energy**: -3.890 eV/atom
**Energy above the lowest structure with this stoichiometry**: 0.67 eV per formula unit